Run a
Material: PmAsPtO
Method: DFT, PBE
State: relaxed

Geometry as POSCAR:
```
PmAsPtO
1.0
-0.8553 -0.1591 -4.6046
1.6380 -3.9164 -0.1689
-6.5358 -2.7902 1.3104
O Pm Pt As
2 2 2 2
Cartesian
-2.0233 -4.3139 -1.8596 O
-6.1751 -3.5957 -1.1132 O
-3.9258 -2.7957 -1.5587 Pm
0.1123 -3.2419 -2.2933 Pm
-5.7788 -3.4894 1.1940 Pt
-1.5985 -4.2756 0.4447 Pt
-1.3502 -1.8477 0.3147 As
-3.8824 -5.0018 0.8940 As
```

Output
Size of the total moment: 0.0 μB/f.u.
Volume: 17.98 Å³/atom



Run b
Material: PmAsPtO
Method: DFT, PBE
State: relaxed

Geometry as POSCAR:
```
PmAsPtO
1.0
6.1017 0.0000 0.0000
0.0000 6.1017 0.0000
0.0000 0.0000 4.5436
As Pt Pm O
2 2 2 2
Cartesian
1.5254 1.5254 0.0128 As
4.5763 4.5763 4.5308 As
1.5254 1.5254 2.2847 Pt
4.5763 4.5763 2.2589 Pt
4.5763 1.5254 2.2718 Pm
1.5254 4.5763 2.2718 Pm
4.5763 1.5254 0.0000 O
1.5254 4.5763 0.0000 O
```

Output
Size of the total moment: 0.0 μB/f.u.
Volume: 21.15 Å³/atom



Least stable = run b



Run a
Material: RbPmAsO
Method: DFT, PBE
State: relaxed

Geometry as POSCAR:
```
RbPmAsO
1.0
5.0821 0.0000 0.0000
0.0000 7.1937 0.0000
0.0000 0.0000 6.1675
O Pm Rb As
2 2 2 2
Cartesian
2.5411 0.0486 4.7086 O
2.5411 7.1451 1.6249 O
2.5411 1.5542 3.1211 Pm
2.5411 5.6395 0.0373 Pm
0.0000 6.2238 3.1191 Rb
0.0000 0.9699 0.0353 Rb
0.0000 3.1005 2.9527 As
0.0000 4.0932 6.0364 As
```

Output
Size of the total moment: 0.0 μB/f.u.
Volume: 28.18 Å³/atom



Run b
Material: RbPmAsO
Method: DFT, PBE
State: relaxed

Geometry as POSCAR:
```
RbPmAsO
1.0
-2.7172 -0.5657 -3.1844
2.3993 -3.1416 -1.4891
-5.6807 -7.2462 6.1344
Pm Rb O As
2 2 2 2
Cartesian
-5.3837 -9.3437 2.0511 Pm
-0.6149 -1.6098 -0.5902 Pm
-1.7202 -6.1207 1.1542 Rb
-4.2784 -4.8328 0.3066 Rb
-1.4380 -1.2097 -2.7606 O
1.1202 -2.4976 -1.9130 O
-4.2512 -6.2483 3.3366 As
-1.7473 -4.7052 -1.8757 As
```

Output
Size of the total moment: 0.0 μB/f.u.
Volume: 24.68 Å³/atom



Run c
Material: RbPmAsO
Method: DFT, PBE
State: relaxed

Geometry as POSCAR:
```
RbPmAsO
1.0
6.0475 0.0000 0.0000
0.0000 6.0475 0.0000
0.0000 0.0000 5.3337
Rb As Pm O
2 2 2 2
Cartesian
4.5356 4.5356 5.3195 Rb
1.5119 1.5119 0.0143 Rb
1.5119 1.5119 2.6825 As
4.5356 4.5356 2.6512 As
1.5119 4.5356 2.6669 Pm
4.5356 1.5119 2.6669 Pm
1.5119 4.5356 0.0000 O
4.5356 1.5119 0.0000 O
```

Output
Size of the total moment: 0.0 μB/f.u.
Volume: 24.38 Å³/atom



Least stable = run c



Run a
Material: PmSnAsO
Method: DFT, PBE
State: relaxed

Geometry as POSCAR:
```
PmSnAsO
1.0
2.9715 -2.9716 0.0000
-2.9715 -2.9716 0.0000
0.0000 0.0000 -10.0024
O As Pm Sn
2 2 2 2
Cartesian
-1.4858 -2.9716 0.0000 O
1.4858 -2.9716 0.0000 O
0.0000 -1.4858 -7.2354 As
0.0000 -4.4573 -2.7670 As
0.0000 -4.4573 -8.9403 Pm
0.0000 -1.4858 -1.0621 Pm
1.4858 -2.9716 -5.0012 Sn
-1.4858 -2.9716 -5.0012 Sn
```

Output
Size of the total moment: 0.0 μB/f.u.
Volume: 22.08 Å³/atom



Run b
Material: PmSnAsO
Method: DFT, PBE
State: relaxed

Geometry as POSCAR:
```
PmSnAsO
1.0
-2.0858 1.8310 -2.9821
-6.6146 1.5214 5.5606
2.5378 5.4008 1.5411
As Pm O Sn
2 2 2 2
Cartesian
-4.4206 3.5271 5.2576 As
1.2040 5.2256 2.3665 As
-3.1518 6.3200 6.0850 Pm
0.0136 2.5997 1.5867 Pm
-3.7878 6.7073 3.9850 O
-1.8048 3.2590 0.4808 O
-3.9018 4.7884 2.8866 Sn
-3.3404 1.6671 0.5774 Sn
```

Output
Size of the total moment: 0.0 μB/f.u.
Volume: 27.54 Å³/atom



Least stable = run b



Run a
Material: PmSnAsO
Method: DFT, PBE
State: relaxed

Geometry as POSCAR:
```
PmSnAsO
1.0
5.6727 0.0000 0.0000
0.0000 5.6727 0.0000
0.0000 0.0000 5.3753
As Pm Sn O
2 2 2 2
Cartesian
1.4182 1.4182 2.7685 As
4.2545 4.2545 2.6068 As
1.4182 4.2545 2.6876 Pm
4.2545 1.4182 2.6876 Pm
4.2545 4.2545 5.3108 Sn
1.4182 1.4182 0.0645 Sn
1.4182 4.2545 0.0000 O
4.2545 1.4182 0.0000 O
```

Output
Size of the total moment: 0.0 μB/f.u.
Volume: 21.62 Å³/atom



Run b
Material: PmSnAsO
Method: DFT, PBE
State: relaxed

Geometry as POSCAR:
```
PmSnAsO
1.0
-3.7645 -2.4487 2.1435
3.8697 -4.1906 2.0088
0.8733 3.4082 5.4273
O Sn Pm As
2 2 2 2
Cartesian
1.7831 -3.3859 5.0399 O
-0.5161 1.2809 6.3333 O
1.7235 2.1779 5.5150 Sn
3.3320 -1.7409 3.8630 Sn
-0.6902 -0.0453 4.5123 Pm
1.3495 -4.4312 3.0842 Pm
3.4882 -0.1089 6.0018 As
1.4165 -0.0424 2.4393 As
```

Output
Size of the total moment: 0.0 μB/f.u.
Volume: 24.33 Å³/atom



Least stable = run a